1.
MnIr2W after structural relaxation. Source: the Alexandria database, functional PBE.

Computed properties:
As for the energy above the most stable polymorph in this dataset: 7 kJ/mol of formula units. The calculation puts the formation energy at -0.2456 eV/atom.

Cell lengths 4.6842, 4.6842, 4.6841 Å; angles 131.16, 131.16, 71.56 degrees
Closest atoms and distances in Å follow each position.
Atoms (fractional coordinates):
Mn 0.7500 0.2500 0.5000  8 Ir 2.71, 4 W 2.74
W 0.2500 0.7500 0.5000  8 Ir 2.71, 4 Mn 2.74
Ir 0.0000 0.0000 0.0000  4 Mn 2.71, 4 W 2.71, 4 Ir 2.74
Ir 0.5000 0.5000 0.0000  4 Mn 2.71, 4 W 2.71, 4 Ir 2.74



2.
Ba2TlAs after structural relaxation. Source: the Alexandria database, functional PBE.

Computed properties:
As for the energy above the most stable polymorph in this dataset: 56 kJ/mol of formula units. The calculation puts the formation energy at -0.5583 eV/atom.

Cell lengths 5.8776, 5.8776, 5.8776 Å; angles 60.00, 60.00, 60.00 degrees
Closest atoms and distances in Å follow each position.
Atoms (fractional coordinates):
As 0.0000 0.0000 0.0000  8 Ba 3.60
Tl 0.5000 0.5000 0.5000  8 Ba 3.60
Ba 0.2500 0.2500 0.2500  4 Tl 3.60, 4 As 3.60
Ba 0.7500 0.7500 0.7500  4 Tl 3.60, 4 As 3.60



3.
AgMo2Cl after structural relaxation. Source: the Alexandria database, functional PBE.

Computed properties:
As for the formation energy without anion corrections: 2.175 eV per formula unit. As for the energy above the most stable polymorph in this dataset: 136 kJ/mol of formula units.

Cell lengths 5.9634, 5.9634, 4.9423 Å; angles 77.84, 77.84, 29.87 degrees
Closest atoms and distances in Å follow each position.
Atoms (fractional coordinates):
Ag 0.5295 0.5295 0.4669  6 Mo 2.90-2.94, 2 Ag 3.07
Cl 0.2955 0.2955 0.1643  4 Mo 2.68-2.87
Mo 0.0079 0.0079 0.9738  2 Mo 2.36
Mo 0.6671 0.6671 0.8951  2 Mo 2.36



4.
Cu3MoPd12 after structural relaxation. Source: the Alexandria database, functional PBE.

Computed properties:
The calculation puts the formation energy at -0.0666 eV/atom.

Cell lengths 3.9091, 3.9091, 15.5450 Å; angles 90.00, 90.00, 90.00 degrees
Closest atoms and distances in Å follow each position.
Atoms (fractional coordinates):
Cu 0.0000 0.0000 0.2539  12 Pd 2.73-2.81
Cu 0.0000 0.0000 0.5000  12 Pd 2.74-2.76
Cu 0.0000 0.0000 0.7461  12 Pd 2.73-2.81
Mo 0.0000 0.0000 0.0000  12 Pd 2.75-2.76
Pd 0.5000 0.5000 0.0000  8 Pd 2.75, 4 Mo 2.76
Pd 0.5000 0.5000 0.2512  8 Pd 2.76-2.78, 4 Cu 2.76
Pd 0.5000 0.5000 0.5000  8 Pd 2.74, 4 Cu 2.76
Pd 0.5000 0.5000 0.7488  8 Pd 2.76-2.78, 4 Cu 2.76
Pd 0.5000 0.0000 0.1244  2 Mo 2.75, 8 Pd 2.75-2.78, 2 Cu 2.81
Pd 0.5000 0.0000 0.3763  4 Cu 2.73-2.74, 8 Pd 2.74-2.76
Pd 0.5000 0.0000 0.6237  4 Cu 2.73-2.74, 8 Pd 2.74-2.76
Pd 0.5000 0.0000 0.8756  8 Pd 2.75-2.78, 2 Mo 2.75, 2 Cu 2.81
Pd 0.0000 0.5000 0.1244  2 Mo 2.75, 8 Pd 2.75-2.78, 2 Cu 2.81
Pd 0.0000 0.5000 0.3763  4 Cu 2.73-2.74, 8 Pd 2.74-2.76
Pd 0.0000 0.5000 0.6237  4 Cu 2.73-2.74, 8 Pd 2.74-2.76
Pd 0.0000 0.5000 0.8756  8 Pd 2.75-2.78, 2 Mo 2.75, 2 Cu 2.81



5.
UTa2Ru after structural relaxation. Source: the Alexandria database, functional PBE.

Computed properties:
As for the energy above the most stable polymorph in this dataset: 0 kJ/mol of formula units. The calculation puts the formation energy at -0.0277 eV/atom.

Cell lengths 3.0182, 3.0182, 8.0665 Å; angles 90.00, 90.00, 90.00 degrees
Closest atoms and distances in Å follow each position.
Atoms (fractional coordinates):
Ru 0.5000 0.5000 0.0000  8 Ta 2.73, 4 Ru 3.02
U 0.5000 0.5000 0.5000  4 U 3.02, 8 Ta 3.16
Ta 0.0000 0.0000 0.7888  4 Ru 2.73, 4 Ta 3.02
Ta 0.0000 0.0000 0.2112  4 Ru 2.73, 4 Ta 3.02



6.
KCd2GaCo after structural relaxation. Source: the Alexandria database, functional PBE.

Computed properties:
As for the energy above the most stable polymorph in this dataset: 432 kJ/mol of formula units. The calculation puts the formation energy at 0.8811 eV/atom.

Cell lengths 5.1481, 6.1515, 5.1481 Å; angles 90.00, 90.00, 90.00 degrees
Closest atoms and distances in Å follow each position.
Atoms (fractional coordinates):
K 0.0000 0.5000 0.0000  2 Ga 3.08
Co 0.5000 0.5000 0.5000  4 K 3.64, 8 Cd 4.01
Ga 0.0000 0.0000 0.0000  4 Cd 2.57
Cd 0.0000 0.0000 0.5000  2 Ga 2.57
Cd 0.5000 0.0000 0.0000  2 Ga 2.57



7.
TaAg3 after structural relaxation. Source: the Alexandria database, functional PBE.

Computed properties:
The calculation puts the formation energy at 0.2029 eV/atom.

Cell lengths 9.8882, 9.8882, 9.8882 Å; angles 16.94, 16.94, 16.94 degrees
Closest atoms and distances in Å follow each position.
Atoms (fractional coordinates):
Ag 0.9997 0.9997 0.9997  9 Ag 2.91-2.95, 3 Ta 2.97
Ag 0.2500 0.2500 0.2500  12 Ag 2.91-2.95
Ag 0.5003 0.5003 0.5003  9 Ag 2.91-2.95, 3 Ta 2.97
Ta 0.7500 0.7500 0.7500  6 Ta 2.91, 6 Ag 2.97



8.
CeTh2Ru after structural relaxation. Source: the Alexandria database, functional PBE.

Computed properties:
As for the energy above the most stable polymorph in this dataset: 1 kJ/mol of formula units. The calculation puts the formation energy at -0.2628 eV/atom.

Cell lengths 6.3171, 7.0961, 9.8609 Å; angles 90.00, 90.00, 90.00 degrees
Closest atoms and distances in Å follow each position.
Atoms (fractional coordinates):
Ce 0.6623 0.5403 0.2500  2 Ru 2.72-2.84
Ce 0.8377 0.0403 0.2500  2 Ru 2.72-2.84
Ce 0.3377 0.4597 0.7500  2 Ru 2.72-2.84
Ce 0.1623 0.9597 0.7500  2 Ru 2.72-2.84
Th 0.1552 0.6760 0.0625  2 Ru 2.88-2.93
Th 0.3448 0.1760 0.4375  2 Ru 2.88-2.93
Th 0.8448 0.3240 0.5625  2 Ru 2.88-2.93
Th 0.6552 0.8240 0.9375  2 Ru 2.88-2.93
Th 0.8448 0.3240 0.9375  2 Ru 2.88-2.93
Th 0.6552 0.8240 0.5625  2 Ru 2.88-2.93
Th 0.1552 0.6760 0.4375  2 Ru 2.88-2.93
Th 0.3448 0.1760 0.0625  2 Ru 2.88-2.93
Ru 0.0666 0.3658 0.2500  2 Ce 2.72-2.84, 4 Th 2.88-2.93
Ru 0.4334 0.8658 0.2500  2 Ce 2.72-2.84, 4 Th 2.88-2.93
Ru 0.9334 0.6342 0.7500  2 Ce 2.72-2.84, 4 Th 2.88-2.93
Ru 0.5666 0.1342 0.7500  2 Ce 2.72-2.84, 4 Th 2.88-2.93



9.
GdTmMnRu after structural relaxation. Source: the Alexandria database, functional PBE.

Computed properties:
The calculation puts the formation energy at -0.0654 eV/atom.

Cell lengths 4.8921, 4.8921, 4.8921 Å; angles 60.00, 60.00, 60.00 degrees
Closest atoms and distances in Å follow each position.
Atoms (fractional coordinates):
Gd 0.5000 0.5000 0.5000  4 Mn 3.00, 4 Ru 3.00
Ru 0.7500 0.7500 0.7500  4 Gd 3.00, 4 Tm 3.00
Tm 0.0000 0.0000 0.0000  4 Ru 3.00, 4 Mn 3.00
Mn 0.2500 0.2500 0.2500  4 Tm 3.00, 4 Gd 3.00



10.
Tm2Al3Tc after structural relaxation. Source: the Alexandria database, functional PBE.

Computed properties:
As for the energy above the most stable polymorph in this dataset: 0 kJ/mol of formula units. The calculation puts the formation energy at -0.5314 eV/atom.

Cell lengths 5.4505, 5.4505, 8.9017 Å; angles 90.00, 90.00, 120.00 degrees
Closest atoms and distances in Å follow each position.
Atoms (fractional coordinates):
Tm 0.6667 0.3333 0.4479  9 Al 3.13-3.25, 3 Tc 3.18, 3 Tm 3.28
Tm 0.3333 0.6667 0.5521  9 Al 3.13-3.25, 3 Tc 3.18, 3 Tm 3.28
Tm 0.3333 0.6667 0.9479  9 Al 3.13-3.25, 3 Tc 3.18, 3 Tm 3.28
Tm 0.6667 0.3333 0.0521  9 Al 3.13-3.25, 3 Tc 3.18, 3 Tm 3.28
Al 0.1630 0.3260 0.2500  4 Al 2.67-2.79, 2 Tc 2.71
Al 0.3260 0.1630 0.7500  4 Al 2.67-2.79, 2 Tc 2.71
Al 0.8370 0.6740 0.7500  4 Al 2.67-2.79, 2 Tc 2.71
Al 0.1630 0.8370 0.2500  4 Al 2.67-2.79, 2 Tc 2.71
Al 0.8370 0.1630 0.7500  4 Al 2.67-2.79, 2 Tc 2.71
Al 0.6740 0.8370 0.2500  4 Al 2.67-2.79, 2 Tc 2.71
Tc 0.0000 0.0000 0.5000  6 Al 2.71
Tc 0.0000 0.0000 0.0000  6 Al 2.71



| no. | N(E_F) (states/eV/f.u.) |
| --- | --- |
| 1 | 4.013 |
| 2 | 4.261 |
| 3 | 2.271 |
| 4 | 18.155 |
| 5 | 5.139 |
| 6 | 8.496 |
| 7 | 2.638 |
| 8 | 7.189 |
| 9 | 2.918 |
| 10 | 3.701 |